No. 1
VASP calculation (GGA-PBE) on an optimized crystal structure of SmHoTm2P4.

Summary:
* space group: No. 10
* calculated total energy: -6.58 eV per atom
* DFT formation energy: -1.59 eV per atom

Cell: 4.0005 6.9233 6.9254 Å, 70.52 90.00 90.00°
Closest atoms and distances in Å follow each position.
Fractional positions:
Sm (0.5000, 0.5000, 0.0000)  6 P 2.86-2.87
Ho (0.0000, 0.5000, 0.5000)  6 P 2.84
Tm (0.0000, 0.0000, 0.0000)  6 P 2.82
Tm (0.5000, 0.0000, 0.5000)  6 P 2.79
P (0.0000, 0.7574, 0.7442)  3 Tm 2.79-2.82, 1 Ho 2.84, 2 Sm 2.87
P (0.0000, 0.2426, 0.2558)  3 Tm 2.79-2.82, 1 Ho 2.84, 2 Sm 2.87
P (0.5000, 0.7549, 0.2516)  3 Tm 2.79-2.82, 2 Ho 2.84, 1 Sm 2.86
P (0.5000, 0.2451, 0.7484)  3 Tm 2.79-2.82, 2 Ho 2.84, 1 Sm 2.86



No. 2
VASP calculation (GGA-PBE) on an optimized crystal structure of CaCrRe2.

Summary:
* space group: No. 12
* calculated total energy: -8.41 eV per atom
* DFT formation energy: 0.72 eV per atom
* offset from the most stable computed form: 23.09 kJ/mol of atoms

Cell: 5.2818 5.3897 2.6402 Å, 80.58 80.46 116.70°
Closest atoms and distances in Å follow each position.
Fractional positions:
Re (0.0000, 0.0000, 0.0000)  4 Re 2.64-2.75, 2 Cr 2.80, 2 Ca 2.80
Re (0.5000, 0.0000, 0.5000)  4 Re 2.64-2.75, 2 Ca 2.80, 2 Cr 2.80
Ca (0.0000, 0.5000, 0.5000)  2 Ca 2.64, 2 Cr 2.75, 4 Re 2.80
Cr (0.5000, 0.5000, 0.0000)  2 Cr 2.64, 2 Ca 2.75, 4 Re 2.80



No. 3
VASP calculation (GGA-PBE) on an optimized crystal structure of GePRu2Rh.

Summary:
* space group: No. 123
* calculated total energy: -5.88 eV per atom
* DFT formation energy: 1.31 eV per atom

Cell: 4.9310 4.2423 4.9310 Å, 90.00 90.00 90.00°
Closest atoms and distances in Å follow each position.
Fractional positions:
Ru (0.0000, 0.0000, 0.5000)  2 Rh 2.47
Ru (0.5000, 0.0000, 0.0000)  2 Rh 2.47
Ge (0.5000, 0.5000, 0.5000)  8 Ru 3.25, 4 P 3.49
Rh (0.0000, 0.0000, 0.0000)  2 P 2.12
P (0.0000, 0.5000, 0.0000)  2 Rh 2.12



no.,size of the total moment (μB per formula unit)
1,0.0
2,0.0
3,4.7